Compound: ZrInAs3
Source: Alexandria via LeMat-Bulk
Functional: PBEsol
Structure: relaxed

- DOS(E_F) (states/eV per cell) = 4.40
- ΔH_f (0 K) (eV/atom) = 0.8701
- distance to the lowest polymorph of the same formula (meV/atom) = 730
- SG = Pm-3m
- V (Å³/atom) = 25.0

Cell: 5.000 5.000 5.000 Å, 90.00 90.00 90.00°
Sites, in units of the cell vectors:
Zr 0.000 0.000 0.000
In 0.500 0.500 0.500
As 0.000 0.500 0.500
As 0.500 0.000 0.500
As 0.500 0.500 0.000

---

Compound: ZrIn2As
Source: Alexandria via LeMat-Bulk
Functional: PBEsol
Structure: relaxed

- DOS(E_F) (states/eV per cell) = 2.15
- ΔH_f (0 K) (eV/atom) = -0.3204
- SG = I4/mmm
- V (Å³/atom) = 20.8

Cell: 5.878 5.878 5.878 Å, 140.02 140.02 57.82°
Sites, in units of the cell vectors:
Zr 0.000 0.000 0.000
In 0.250 0.750 0.500
In 0.750 0.250 0.500
As 0.500 0.500 0.000

---

Compound: AsIr
Source: Alexandria via LeMat-Bulk
Functional: PBEsol
Structure: relaxed

- DOS(E_F) (states/eV per cell) = 3.48
- ΔH_f (0 K) (eV/atom) = -0.0184
- SG = P2_13
- V (Å³/atom) = 15.4

Cell: 4.978 4.978 4.978 Å, 90.00 90.00 90.00°
Sites, in units of the cell vectors:
As 0.065 0.435 0.565
As 0.435 0.565 0.065
As 0.565 0.065 0.435
As 0.935 0.935 0.935
Ir 0.060 0.940 0.440
Ir 0.440 0.060 0.940
Ir 0.560 0.560 0.560
Ir 0.940 0.440 0.060

---

Compound: As2Ir3
Source: Alexandria via LeMat-Bulk
Functional: PBEsol
Structure: relaxed

- DOS(E_F) (states/eV per cell) = 4.17
- ΔH_f (0 K) (eV/atom) = 0.1719
- SG = R-3m
- V (Å³/atom) = 15.1

Cell: 5.850 5.850 5.850 Å, 40.33 40.33 40.33°
Sites, in units of the cell vectors:
As 0.092 0.092 0.092
As 0.908 0.908 0.908
Ir 0.280 0.280 0.280
Ir 0.500 0.500 0.500
Ir 0.720 0.720 0.720

---

Q: Which value of V does entry 4 give?
A: 15.1 Å³/atom

---

Q: DOS(E_F) of number 3 (AsIr)?
A: 3.48 states/eV per cell